(1)
CaAs2H4O8 at its PBEsol-relaxed geometry. Source: Alexandria, functional SCAN.

Output
calculated volume = 327 Å³/cell
density of states at the Fermi level = 0.000 states/eV per atom
total energy = -274.1 eV per cell

a = 5.670 Å, b = 7.797 Å, c = 8.575 Å
α = 111.69°, β = 109.14°, γ = 92.20°
Element x y z (fractional)
Ca: 0.187 0.311 0.412
Ca: 0.813 0.689 0.588
As: 0.173 0.728 0.319
As: 0.484 0.739 0.847
As: 0.516 0.261 0.153
As: 0.827 0.272 0.681
H: 0.000 0.500 0.000
H: 0.157 0.134 0.774
H: 0.226 0.980 0.998
H: 0.415 0.675 0.075
H: 0.500 0.000 0.500
H: 0.585 0.325 0.925
H: 0.774 0.020 0.002
H: 0.843 0.866 0.226
O: 0.018 0.920 0.322
O: 0.026 0.587 0.380
O: 0.177 0.624 0.105
O: 0.212 0.825 0.821
O: 0.261 0.099 0.117
O: 0.425 0.287 0.948
O: 0.476 0.835 0.466
O: 0.500 0.443 0.329
O: 0.500 0.557 0.671
O: 0.524 0.165 0.534
O: 0.575 0.713 0.052
O: 0.739 0.901 0.883
O: 0.788 0.175 0.179
O: 0.823 0.376 0.895
O: 0.974 0.413 0.620
O: 0.982 0.080 0.678

---

(2)
Sr2RePb at its PBEsol-relaxed geometry. Source: Alexandria, functional SCAN.

Output
calculated volume = 120 Å³/cell
density of states at the Fermi level = 0.545 states/eV per atom
total energy = -189.5 eV per cell
calculated formation energy = 1.964 eV/f.u.

a = 3.633 Å, b = 3.633 Å, c = 9.066 Å
α = 90.00°, β = 90.00°, γ = 90.00°
Element x y z (fractional)
Sr: 0.000 0.000 0.000
Sr: 0.500 0.500 0.402
Re: 0.500 0.500 0.772
Pb: 0.000 0.000 0.641

---

(3)
TaCrIr2 at its PBEsol-relaxed geometry. Source: Alexandria, functional SCAN.

Output
calculated volume = 57 Å³/cell
distance to the lowest polymorph of the same formula = 0 meV/atom
density of states at the Fermi level = 0.495 states/eV per atom
total energy = -229.8 eV per cell
calculated formation energy = -2.622 eV/f.u.

a = 3.906 Å, b = 3.906 Å, c = 3.753 Å
α = 90.00°, β = 90.00°, γ = 90.00°
Element x y z (fractional)
Ta: 0.000 0.000 0.000
Cr: 0.500 0.500 0.000
Ir: 0.000 0.500 0.500
Ir: 0.500 0.000 0.500

---

(4)
MgReS3 at its PBEsol-relaxed geometry. Source: Alexandria, functional SCAN.

Output
calculated volume = 99 Å³/cell
formation energy without anion corrections = 6.8 kJ per mole of atoms
density of states at the Fermi level = 0.722 states/eV per atom
total energy = -104.6 eV per cell

a = 4.628 Å, b = 4.628 Å, c = 4.628 Å
α = 90.00°, β = 90.00°, γ = 90.00°
Element x y z (fractional)
Mg: 0.000 0.000 0.000
Re: 0.500 0.500 0.500
S: 0.000 0.500 0.500
S: 0.500 0.000 0.500
S: 0.500 0.500 0.000

---

(5)
Cs2GaHgI6 at its PBEsol-relaxed geometry. Source: Alexandria, functional SCAN.

Output
calculated volume = 397 Å³/cell
formation energy without anion corrections = -85.9 kJ per mole of atoms
density of states at the Fermi level = 0.123 states/eV per atom
total energy = -389.5 eV per cell

a = 8.247 Å, b = 8.247 Å, c = 8.247 Å
α = 60.00°, β = 60.00°, γ = 60.00°
Element x y z (fractional)
Cs: 0.250 0.250 0.250
Cs: 0.750 0.750 0.750
Ga: 0.000 0.000 0.000
Hg: 0.500 0.500 0.500
I: 0.243 0.243 0.757
I: 0.243 0.757 0.243
I: 0.243 0.757 0.757
I: 0.757 0.243 0.243
I: 0.757 0.243 0.757
I: 0.757 0.757 0.243

---

(6)
K2YZr at its PBEsol-relaxed geometry. Source: Alexandria, functional SCAN.

Output
calculated volume = 136 Å³/cell
distance to the lowest polymorph of the same formula = 0 meV/atom
density of states at the Fermi level = 1.004 states/eV per atom
total energy = -72.2 eV per cell
calculated formation energy = 3.000 eV/f.u.

a = 3.324 Å, b = 6.919 Å, c = 5.915 Å
α = 90.00°, β = 91.66°, γ = 90.00°
Element x y z (fractional)
K: 0.248 0.000 0.245
K: 0.752 0.000 0.755
Y: 0.000 0.500 0.500
Zr: 0.500 0.500 0.000

---

(7)
KAg2Au at its PBEsol-relaxed geometry. Source: Alexandria, functional SCAN.

Output
calculated volume = 79 Å³/cell
distance to the lowest polymorph of the same formula = 87 meV/atom
density of states at the Fermi level = 0.287 states/eV per atom
total energy = -139.7 eV per cell
calculated formation energy = 0.566 eV/f.u.

a = 5.947 Å, b = 5.947 Å, c = 2.842 Å
α = 102.88°, β = 102.88°, γ = 118.52°
Element x y z (fractional)
K: 0.000 0.000 0.000
Ag: 0.000 0.500 0.500
Ag: 0.500 0.000 0.500
Au: 0.500 0.500 0.000

---

(8)
ZnFe2Mo at its PBEsol-relaxed geometry. Source: Alexandria, functional SCAN.

Output
calculated volume = 50 Å³/cell
density of states at the Fermi level = 0.620 states/eV per atom
total energy = -84.2 eV per cell
calculated formation energy = 0.492 eV/f.u.

a = 2.514 Å, b = 4.098 Å, c = 4.963 Å
α = 90.00°, β = 99.73°, γ = 90.00°
Element x y z (fractional)
Zn: 0.000 0.000 0.000
Fe: 0.251 0.500 0.749
Fe: 0.749 0.500 0.251
Mo: 0.500 0.000 0.500